Record 1
Cs5Bi2Pt after structural relaxation. Source: Alexandria via LeMat-Bulk, functional PBE.

Cell and atoms, written as extended XYZ:
```
8
Lattice="3.280 1.893 10.311 -3.280 1.893 10.311 0.000 -3.787 10.311" Properties=species:S:1:pos:R:3 pbc="T T T"
Cs 0.000 0.000 0.000
Cs 0.000 0.000 4.397
Cs 0.000 0.000 8.687
Cs 0.000 0.000 22.246
Cs 0.000 0.000 26.536
Bi 0.000 0.000 12.771
Bi 0.000 0.000 18.162
Pt 0.000 0.000 15.467
```

Results
VASP energy ... -20.55 eV for the cell shown
Density ... 5.5 g/cm3
ΔH_f (0 K) ... -0.31 eV/atom
Space group ... R-3m (166)
Density of states at the Fermi level ... 1.044 states/eV per atom



Record 2
CsBi2Pt after structural relaxation. Source: Alexandria via LeMat-Bulk, functional PBE.

Cell and atoms, written as extended XYZ:
```
12
Lattice="4.433 0.000 0.000 -2.217 3.839 0.000 0.000 0.000 25.114" Properties=species:S:1:pos:R:3 pbc="T T T"
Cs 0.000 0.000 0.000
Cs 0.000 2.560 16.743
Cs 2.217 1.280 8.371
Bi 0.000 0.000 13.839
Bi 0.000 0.000 19.802
Bi 0.000 2.560 5.467
Bi 0.000 2.560 11.430
Bi 2.217 1.280 3.059
Bi 2.217 1.280 22.210
Pt 0.000 0.000 4.281
Pt 0.000 2.560 21.024
Pt 2.217 1.280 12.653
```

Results
VASP energy ... -47.94 eV for the cell shown
Density ... 8.7 g/cm3
ΔH_f (0 K) ... -0.33 eV/atom
Space group ... R3m (160)
E above lowest polymorph ... 0 meV/atom
Density of states at the Fermi level ... 0.396 states/eV per atom